Record 1
Entry from the Alexandria database: MgAl2Cd after structural relaxation (PBE-GGA).

Calculated values
- Magnetic moment: 0.00 μB/f.u.

The structure in CIF format:
```
data_MgAl2Cd
_cell_length_a 3.0195
_cell_length_b 4.4105
_cell_length_c 5.8857
_cell_angle_alpha 90.00
_cell_angle_beta 90.00
_cell_angle_gamma 90.00
_space_group_name_H-M_alt 'P 1'
_space_group_IT_number 1
loop_
_space_group_symop_operation_xyz
'x,y,z'
loop_
_atom_site_label
_atom_site_type_symbol
_atom_site_fract_x
_atom_site_fract_y
_atom_site_fract_z
Al1 Al 0.0000 0.0000 0.5081
Mg1 Mg 0.5000 0.5000 0.7500
Cd1 Cd 0.5000 0.5000 0.2500
Al2 Al 0.0000 0.0000 0.9919
```

=====

Record 2
Entry from the Alexandria database: CeUN2 after structural relaxation (PBE-GGA).

Calculated values
- E_form (uncorrected): -1.378 eV per atom
- Magnetic moment: 1.01 μB/f.u.

The structure in CIF format:
```
data_CeUN2
_cell_length_a 3.4942
_cell_length_b 3.4942
_cell_length_c 4.9408
_cell_angle_alpha 90.00
_cell_angle_beta 90.00
_cell_angle_gamma 90.00
_space_group_name_H-M_alt 'P 1'
_space_group_IT_number 1
loop_
_space_group_symop_operation_xyz
'x,y,z'
loop_
_atom_site_label
_atom_site_type_symbol
_atom_site_fract_x
_atom_site_fract_y
_atom_site_fract_z
Ce1 Ce 0.5000 0.5000 0.5000
N1 N 0.0000 0.0000 0.5000
N2 N 0.5000 0.5000 0.0000
U1 U 0.0000 0.0000 0.0000
```

=====

Record 3
Entry from the Alexandria database: YRhW2 after structural relaxation (PBE-GGA).

Calculated values
- ΔE to the lowest computed polymorph: 153.3 meV per atom
- Magnetic moment: 0.00 μB/f.u.

The structure in CIF format:
```
data_YRhW2
_cell_length_a 2.9030
_cell_length_b 2.9030
_cell_length_c 8.8206
_cell_angle_alpha 90.00
_cell_angle_beta 90.00
_cell_angle_gamma 105.67
_space_group_name_H-M_alt 'P 1'
_space_group_IT_number 1
loop_
_space_group_symop_operation_xyz
'x,y,z'
loop_
_atom_site_label
_atom_site_type_symbol
_atom_site_fract_x
_atom_site_fract_y
_atom_site_fract_z
W1 W 0.5000 0.5000 0.2243
Y1 Y 0.0000 0.0000 0.5119
Rh1 Rh 0.5000 0.5000 0.7721
W2 W 0.0000 0.0000 0.9916
```

=====

Record 4
Entry from the Alexandria database: HoTlBi2O6 after structural relaxation (PBE-GGA).

Calculated values
- E_form (uncorrected): -1.653 eV per atom
- Magnetic moment: 0.00 μB/f.u.

The structure in CIF format:
```
data_HoTlBi2O6
_cell_length_a 6.0226
_cell_length_b 6.0226
_cell_length_c 6.1640
_cell_angle_alpha 60.76
_cell_angle_beta 60.76
_cell_angle_gamma 59.99
_space_group_name_H-M_alt 'P 1'
_space_group_IT_number 1
loop_
_space_group_symop_operation_xyz
'x,y,z'
loop_
_atom_site_label
_atom_site_type_symbol
_atom_site_fract_x
_atom_site_fract_y
_atom_site_fract_z
Bi1 Bi 0.0238 0.0237 0.9287
Bi2 Bi 0.5197 0.5198 0.4407
O1 O 0.6831 0.1204 0.7453
Ho1 Ho 0.8081 0.8081 0.5756
O2 O 0.1749 0.9479 0.2492
Tl1 Tl 0.3043 0.3043 0.0870
O3 O 0.6280 0.1749 0.2492
O4 O 0.4513 0.6831 0.7453
O5 O 0.9479 0.6281 0.2491
O6 O 0.1205 0.4513 0.7452
```

=====

Number 1: final energy -2.43 eV/atom. Number 2: final energy -9.85 eV/atom. Number 3: final energy -9.73 eV/atom. Number 4: final energy -6.10 eV/atom.